Entry 1:
A plane-wave DFT calculation with PBE-GGA was carried out for an optimized crystal structure of RbWS2.

abc: 9.492 9.492 9.492
angles: 22.17 22.17 22.17
Positions (direct):
S  0.079  0.079  0.079
S  0.921  0.921  0.921
Rb  0.500  0.500  0.500
W  0.000  0.000  0.000

Properties
Its energy above the most stable polymorph in this dataset is 740 meV/atom. The density of states at the Fermi level comes out at 1.77 states/eV/cell. The calculation puts the uncorrected formation energy at 0.311 eV/atom.

---

Entry 2:
A plane-wave DFT calculation with PBE-GGA was carried out for an optimized crystal structure of NdSmHgRh.

abc: 5.188 5.188 5.188
angles: 60.00 60.00 60.00
Positions (direct):
Sm  0.250  0.250  0.250
Hg  0.500  0.500  0.500
Rh  0.000  0.000  0.000
Nd  0.750  0.750  0.750

Properties
The calculation puts the calculated formation energy at -0.53 eV/atom. The density of states at the Fermi level comes out at 2.24 states/eV/cell.

---

Entry 3:
A plane-wave DFT calculation with PBE-GGA was carried out for an optimized crystal structure of CeRhBr.

abc: 4.104 4.104 11.572
angles: 79.78 79.78 60.00
Last column: magnetic moment on the atom in μB.
Positions (direct):
Ce  0.559  0.559  0.322  0.32
Rh  0.851  0.851  0.446  -0.07
Rh  0.149  0.149  0.554  -0.07
Br  0.283  0.283  0.152  -0.01
Br  0.717  0.717  0.848  -0.01
Ce  0.441  0.441  0.678  0.32

Properties
Its energy above the most stable polymorph in this dataset is 0 meV/atom. The density of states at the Fermi level comes out at 7.72 states/eV/cell. The calculation puts the uncorrected formation energy at -1.109 eV/atom.